(1)
VASP calculation (PBE-GGA) on a relaxed TaSiTeI2 crystal.

Lattice parameters (Å, degrees): 5.541 5.541 5.433 90.00 90.00 90.00
Sites, in units of the cell vectors:
Ta (0.000, 0.000, 0.000)
Si (0.500, 0.500, 0.500)
Te (0.000, 0.000, 0.500)
I (0.000, 0.500, 0.000)
I (0.500, 0.000, 0.000)

## Properties
VASP energy: -19.80 eV/cell
V: 33.36 Å³ per atom
polymorph energy (0 for the lowest one): 0.000 eV per atom
formation energy (no corrections): 743 meV/atom
DOS at the Fermi energy: 0.929 states/eV/atom


(2)
VASP calculation (PBE-GGA) on a relaxed TaSiTeI2 crystal.

Lattice parameters (Å, degrees): 5.315 5.315 5.453 90.00 90.00 90.00
Sites, in units of the cell vectors:
Ta (0.000, 0.000, 0.000)
Si (0.500, 0.500, 0.500)
Te (0.500, 0.500, 0.000)
I (0.000, 0.500, 0.500)
I (0.500, 0.000, 0.500)

## Properties
VASP energy: -17.60 eV/cell
V: 30.80 Å³ per atom
polymorph energy (0 for the lowest one): 0.441 eV per atom
formation energy (no corrections): 1183 meV/atom
DOS at the Fermi energy: 1.038 states/eV/atom


(3)
VASP calculation (PBE-GGA) on a relaxed TaZnSi2I crystal.

Lattice parameters (Å, degrees): 4.557 4.557 5.333 90.00 90.00 90.00
Sites, in units of the cell vectors:
Ta (0.000, 0.000, 0.000)
Zn (0.000, 0.000, 0.500)
Si (0.000, 0.500, 0.500)
Si (0.500, 0.000, 0.500)
I (0.500, 0.500, 0.000)

## Properties
VASP energy: -19.32 eV/cell
V: 22.15 Å³ per atom
formation energy (no corrections): 1241 meV/atom
DOS at the Fermi energy: 0.887 states/eV/atom


(4)
VASP calculation (PBE-GGA) on a relaxed Tb3Si2I2 crystal.

Lattice parameters (Å, degrees): 4.100 7.232 7.853 81.43 89.95 73.64
Sites, in units of the cell vectors:
Tb (0.000, 0.000, 0.000)
Tb (0.244, 0.510, 0.783)
Tb (0.756, 0.490, 0.217)
Si (0.376, 0.249, 0.104)
Si (0.624, 0.751, 0.896)
I (0.124, 0.754, 0.388)
I (0.876, 0.246, 0.612)

## Properties
VASP energy: -33.02 eV/cell
V: 31.53 Å³ per atom
formation energy (no corrections): -741 meV/atom
DOS at the Fermi energy: 0.679 states/eV/atom


(5)
VASP calculation (PBE-GGA) on a relaxed Tb4Si2I5 crystal.

Lattice parameters (Å, degrees): 14.069 14.069 14.069 163.04 144.75 39.37
Sites, in units of the cell vectors:
Tb (0.142, 0.142, 0.000)
Tb (0.201, 0.500, 0.701)
Tb (0.799, 0.500, 0.299)
Tb (0.858, 0.858, 0.000)
Si (0.043, 0.043, 0.000)
Si (0.957, 0.957, 0.000)
I (0.083, 0.332, 0.750)
I (0.418, 0.668, 0.750)
I (0.500, 0.000, 0.500)
I (0.582, 0.332, 0.250)
I (0.917, 0.668, 0.250)

## Properties
VASP energy: -47.10 eV/cell
V: 42.58 Å³ per atom
formation energy (no corrections): -907 meV/atom
DOS at the Fermi energy: 0.154 states/eV/atom


(6)
VASP calculation (PBE-GGA) on a relaxed Tb7SiI12 crystal.

Lattice parameters (Å, degrees): 9.733 9.733 9.733 107.86 107.86 107.86
Sites, in units of the cell vectors:
Tb (0.000, 0.000, 0.000)
Tb (0.192, 0.468, 0.398)
Tb (0.398, 0.192, 0.468)
Tb (0.468, 0.398, 0.192)
Tb (0.532, 0.602, 0.808)
Tb (0.602, 0.808, 0.532)
Tb (0.808, 0.532, 0.602)
Si (0.500, 0.500, 0.500)
I (0.032, 0.112, 0.345)
I (0.112, 0.345, 0.032)
I (0.186, 0.578, 0.729)
I (0.271, 0.814, 0.422)
I (0.345, 0.032, 0.112)
I (0.422, 0.271, 0.814)
I (0.578, 0.729, 0.186)
I (0.655, 0.968, 0.888)
I (0.729, 0.186, 0.578)
I (0.814, 0.422, 0.271)
I (0.888, 0.655, 0.968)
I (0.968, 0.888, 0.655)

## Properties
VASP energy: -81.61 eV/cell
V: 37.45 Å³ per atom
formation energy (no corrections): -1259 meV/atom
DOS at the Fermi energy: 0.599 states/eV/atom